Compound: ScCdBCl2
Source: Alexandria
Functional: PBE
Structure: relaxed

Results
Formation energy (no corrections)   4.39 eV/f.u.
Total DFT energy (no corrections)   -2.65 eV per atom

Cell: 4.910 4.910 6.358 Å, 90.00 90.00 90.00°
Space group P4/mmm (No. 123)
Unique sites:
Sc 0.000 0.000 0.000
Cd 0.000 0.000 0.500
B 0.500 0.500 0.000
Cl 0.000 0.500 0.500

Compound: Sr2CdBCl
Source: Alexandria
Functional: PBE
Structure: relaxed

Results
Formation energy (no corrections)   1.86 eV/f.u.
Total DFT energy (no corrections)   -2.19 eV per atom

Cell: 5.590 5.590 5.379 Å, 90.00 90.00 90.00°
Space group P4/mmm (No. 123)
Unique sites:
Sr 0.000 0.500 0.000
Cd 0.000 0.000 0.500
B 0.500 0.500 0.500
Cl 0.000 0.000 0.000

Compound: CdCoB3
Source: Alexandria
Functional: PBE
Structure: relaxed

Results
Energy of formation   953 meV/atom
Total DFT energy (no corrections)   -4.66 eV per atom
Energy above the lowest structure with this stoichiometry   0 meV/atom

Cell: 3.881 3.881 3.881 Å, 90.00 90.00 90.00°
Space group Pm-3m (No. 221)
Unique sites:
Cd 0.000 0.000 0.000
Co 0.500 0.500 0.500
B 0.000 0.500 0.500

Compound: CdCoB3
Source: Alexandria
Functional: PBE
Structure: relaxed

Results
Energy of formation   2689 meV/atom
Total DFT energy (no corrections)   -2.92 eV per atom
Energy above the lowest structure with this stoichiometry   1736 meV/atom

Cell: 4.280 4.280 4.280 Å, 90.00 90.00 90.00°
Space group Pm-3m (No. 221)
Unique sites:
Cd 0.000 0.000 0.000
Co 0.500 0.500 0.500
B 0.000 0.000 0.500

Q: Number 4 is which compound?
A: CdCoB3

Copy entry 4 word for word.
Compound: CdCoB3
Source: Alexandria
Functional: PBE
Structure: relaxed

Results
Energy of formation   2689 meV/atom
Total DFT energy (no corrections)   -2.92 eV per atom
Energy above the lowest structure with this stoichiometry   1736 meV/atom

Cell: 4.280 4.280 4.280 Å, 90.00 90.00 90.00°
Space group Pm-3m (No. 221)
Unique sites:
Cd 0.000 0.000 0.000
Co 0.500 0.500 0.500
B 0.000 0.000 0.500